DFT (GGA-PBE) results for an optimized crystal structure of Nd3Tl6Cd2.

Cell lengths 16.262, 16.262, 16.262 Å; angles 163.89, 163.89, 22.86 degrees
Fractional coordinates of all 11 atoms:
Nd1 0.000 0.000 0.000
Nd2 0.162 0.162 0.000
Nd3 0.838 0.838 0.000
Tl1 0.075 0.575 0.500
Tl2 0.265 0.265 0.000
Tl3 0.425 0.925 0.500
Tl4 0.575 0.075 0.500
Tl5 0.735 0.735 0.000
Tl6 0.925 0.425 0.500
Cd1 0.358 0.358 0.000
Cd2 0.642 0.642 0.000

Summary:
Space group: No. 139
M_tot: 0.000 Bohr magnetons per cell
Calculated density: 9.45 g/cm3
Calculated formation energy: -0.17 eV/atom